# 1
A plane-wave DFT calculation with PBEsol was carried out for an optimized crystal structure of CoTc2.

The structure in POSCAR format:
```
CoTc2
1.0
7.055 0.000 0.000
-3.527 6.110 0.000
0.000 0.000 2.631
Co Tc
3 6
Direct
0.000 0.000 0.000 Co
0.333 0.667 0.500 Co
0.667 0.333 0.500 Co
0.000 0.299 0.500 Tc
0.000 0.632 0.000 Tc
0.299 0.000 0.500 Tc
0.368 0.368 0.000 Tc
0.632 0.000 0.000 Tc
0.701 0.701 0.500 Tc
```

Computed properties:
Formation enthalpy at 0 K ... 12 meV per atom
Relative energy among the computed polymorphs ... 28 meV/atom
Theoretical density ... 11.20 Mg/m³
Total energy ... -10.0779 eV/atom

=====

# 2
A plane-wave DFT calculation with PBEsol was carried out for an optimized crystal structure of Mg3Cd.

The structure in POSCAR format:
```
Mg3Cd
1.0
5.005 0.000 0.000
0.000 6.258 0.000
0.000 0.000 5.409
Mg Cd
6 2
Direct
0.250 0.000 0.168 Mg
0.250 0.250 0.653 Mg
0.250 0.500 0.168 Mg
0.750 0.000 0.832 Mg
0.750 0.500 0.832 Mg
0.750 0.750 0.347 Mg
0.250 0.750 0.677 Cd
0.750 0.250 0.323 Cd
```

Computed properties:
Formation enthalpy at 0 K ... -82 meV per atom
Theoretical density ... 3.63 Mg/m³
Total energy ... -1.6693 eV/atom

=====

# 3
A plane-wave DFT calculation with PBEsol was carried out for an optimized crystal structure of BaHfHgH2.

The structure in POSCAR format:
```
BaHfHgH2
1.0
4.385 0.000 0.000
0.000 4.385 0.000
0.000 0.000 6.351
Ba Hf Hg H
1 1 1 2
Direct
0.000 0.000 0.000 Ba
0.500 0.500 0.500 Hf
0.000 0.000 0.500 Hg
0.000 0.500 0.000 H
0.500 0.000 0.000 H
```

Computed properties:
Theoretical density ... 7.05 Mg/m³
Total energy ... -3.1533 eV/atom

=====

# 4
A plane-wave DFT calculation with PBEsol was carried out for an optimized crystal structure of LaTl2Ag.

The structure in POSCAR format:
```
LaTl2Ag
1.0
3.579 0.000 0.000
0.000 3.579 0.000
0.000 0.000 7.664
La Tl Ag
1 2 1
Direct
0.000 0.000 0.000 La
0.500 0.500 0.287 Tl
0.500 0.500 0.713 Tl
0.000 0.000 0.500 Ag
```

Computed properties:
Formation enthalpy at 0 K ... -199 meV per atom
Theoretical density ... 11.09 Mg/m³
Total energy ... -3.6783 eV/atom

=====

# 5
A plane-wave DFT calculation with PBEsol was carried out for an optimized crystal structure of Tl3PbBr5.

The structure in POSCAR format:
```
Tl3PbBr5
1.0
8.371 0.000 0.000
0.000 8.931 0.000
0.000 0.000 15.082
Tl Pb Br
12 4 20
Direct
0.061 0.093 0.288 Tl
0.080 0.167 0.978 Tl
0.223 0.705 0.053 Tl
0.277 0.295 0.553 Tl
0.420 0.833 0.478 Tl
0.439 0.907 0.788 Tl
0.561 0.407 0.712 Tl
0.580 0.333 0.022 Tl
0.723 0.795 0.947 Tl
0.777 0.205 0.447 Tl
0.920 0.667 0.522 Tl
0.939 0.593 0.212 Tl
0.073 0.538 0.794 Pb
0.427 0.462 0.294 Pb
0.573 0.962 0.206 Pb
0.927 0.038 0.706 Pb
0.081 0.998 0.521 Br
0.082 0.853 0.866 Br
0.101 0.442 0.389 Br
0.228 0.212 0.776 Br
0.235 0.342 0.149 Br
0.265 0.658 0.649 Br
0.272 0.788 0.276 Br
0.399 0.558 0.889 Br
0.418 0.147 0.366 Br
0.419 0.002 0.021 Br
0.581 0.502 0.479 Br
0.582 0.647 0.134 Br
0.601 0.058 0.611 Br
0.728 0.288 0.224 Br
0.735 0.158 0.851 Br
0.765 0.842 0.351 Br
0.772 0.712 0.724 Br
0.899 0.942 0.111 Br
0.918 0.353 0.634 Br
0.919 0.498 0.979 Br
```

Computed properties:
Relative energy among the computed polymorphs ... 0 meV/atom
Theoretical density ... 7.19 Mg/m³
Total energy ... -3.1819 eV/atom
E_form (uncorrected) ... -79.3 kJ per mole of atoms

=====

# 6
A plane-wave DFT calculation with PBEsol was carried out for an optimized crystal structure of GdAsO4.

The structure in POSCAR format:
```
GdAsO4
1.0
-2.819 3.865 3.692
2.819 -3.865 3.692
2.819 3.865 -3.692
Gd As O
2 2 8
Direct
0.000 0.000 0.000 Gd
0.500 0.000 0.500 Gd
0.328 0.578 0.750 As
0.672 0.422 0.250 As
0.210 0.197 0.487 O
0.210 0.723 0.013 O
0.260 0.698 0.562 O
0.364 0.302 0.062 O
0.636 0.698 0.938 O
0.740 0.302 0.438 O
0.790 0.277 0.987 O
0.790 0.803 0.513 O
```

Computed properties:
Relative energy among the computed polymorphs ... 105 meV/atom
Theoretical density ... 6.11 Mg/m³
Total energy ... -9.0157 eV/atom
E_form (uncorrected) ... -217.8 kJ per mole of atoms